# TaHgIN2 | Alexandria | PBE | optimized geometry
# Final energy (eV per cell): -28.361
# Magnetization (μB/f.u.): 0.000
# Theoretical density (g/cm³): 8.86
# Uncorrected formation energy (meV per atom): 399
# Energy relative to the lowest polymorph listed for this composition (meV per atom): 0
data_TaHgIN2
_cell_length_a 4.1143
_cell_length_b 4.1143
_cell_length_c 5.9368
_cell_angle_alpha 90.00
_cell_angle_beta 90.00
_cell_angle_gamma 90.00
_space_group_name_H-M_alt 'P 4/m m m'
_space_group_IT_number 123
_space_group_name_Hall '-P 4 2'
loop_
_atom_site_label
_atom_site_fract_x
_atom_site_fract_y
_atom_site_fract_z
_atom_site_occupancy
Ta1 0.0000 0.0000 0.0000 1
Hg1 0.5000 0.5000 0.5000 1
I1 0.0000 0.0000 0.5000 1
N1 0.0000 0.5000 0.0000 1